Record 1
First-principles (PBE-GGA) data for a relaxed CsPuAgBr5 crystal, as listed in the Alexandria database.

Properties
As for the magnetization: 10.0 μB/cell. For the density of states at the Fermi level, the calculation gives 1.440 states/eV per atom. The calculation puts the energy relative to the elements, uncorrected at -1.308 eV per atom.

Lattice parameters (Å, degrees): 8.196 8.196 10.988 102.44 102.44 107.91
Last column: magnetic moment on the atom in μB.
Element x y z (fractional)
1 Br 0.934 0.066 0.750  -0.04
2 Br 0.762 0.632 0.433  -0.03
3 Br 0.898 0.300 0.089  -0.03
4 Br 0.700 0.102 0.411  -0.03
5 Br 0.368 0.238 0.067  -0.03
6 Br 0.066 0.934 0.250  -0.04
7 Br 0.102 0.700 0.911  -0.03
8 Br 0.632 0.762 0.933  -0.03
9 Br 0.300 0.898 0.589  -0.03
10 Br 0.238 0.368 0.567  -0.03
11 Pu 0.000 0.000 0.500  5.09
12 Pu 0.000 0.000 0.000  5.09
13 Ag 0.690 0.310 0.250  -0.01
14 Ag 0.310 0.690 0.750  -0.01
15 Cs 0.656 0.344 0.750  0.00
16 Cs 0.344 0.656 0.250  0.00



Record 2
First-principles (PBE-GGA) data for a relaxed CsPuAgBr6 crystal, as listed in the Alexandria database.

Properties
As for the magnetization: 8.0 μB/cell. For the density of states at the Fermi level, the calculation gives 0.635 states/eV per atom. The calculation puts the energy relative to the elements, uncorrected at -1.214 eV per atom.

Lattice parameters (Å, degrees): 7.307 7.307 16.542 90.00 90.00 120.00
Last column: magnetic moment on the atom in μB.
Element x y z (fractional)
1 Br 0.358 0.987 0.652  -0.07
2 Br 0.642 0.013 0.348  -0.07
3 Br 0.358 0.371 0.848  -0.07
4 Br 0.371 0.013 0.152  -0.07
5 Br 0.987 0.358 0.152  -0.07
6 Br 0.629 0.987 0.848  -0.07
7 Br 0.013 0.642 0.848  -0.07
8 Br 0.371 0.358 0.348  -0.07
9 Br 0.987 0.629 0.348  -0.07
10 Br 0.642 0.629 0.152  -0.07
11 Br 0.013 0.371 0.652  -0.07
12 Br 0.629 0.642 0.652  -0.07
13 Cs 0.000 0.000 0.000  0.00
14 Cs 0.000 0.000 0.500  0.00
15 Ag 0.333 0.667 0.250  -0.03
16 Ag 0.667 0.333 0.750  -0.03
17 Pu 0.333 0.667 0.750  4.54
18 Pu 0.667 0.333 0.250  4.54



Record 3
First-principles (PBE-GGA) data for a relaxed CsPuAg2Br8 crystal, as listed in the Alexandria database.

Properties
As for the magnetization: 3.2 μB/cell. For the density of states at the Fermi level, the calculation gives 1.853 states/eV per atom. The calculation puts the energy relative to the elements, uncorrected at -0.843 eV per atom.

Lattice parameters (Å, degrees): 8.524 8.524 8.524 105.96 105.96 116.74
Last column: magnetic moment on the atom in μB.
Element x y z (fractional)
1 Br 0.689 0.025 0.664  -0.14
2 Br 0.975 0.639 0.664  -0.14
3 Br 0.893 0.672 0.221  -0.11
4 Br 0.328 0.549 0.221  -0.11
5 Br 0.451 0.672 0.779  -0.11
6 Br 0.328 0.107 0.779  -0.11
7 Br 0.361 0.025 0.336  -0.14
8 Br 0.975 0.311 0.336  -0.14
9 Pu 0.250 0.750 0.500  4.68
10 Cs 0.000 0.000 0.000  -0.01
11 Ag 0.500 0.500 0.000  -0.08
12 Ag 0.750 0.250 0.500  -0.17



Record 4
First-principles (PBE-GGA) data for a relaxed Cs4PuAg3Br12 crystal, as listed in the Alexandria database.

Properties
As for the magnetization: 4.0 μB/cell. For the density of states at the Fermi level, the calculation gives 0.559 states/eV per atom. The calculation puts the energy relative to the elements, uncorrected at -1.180 eV per atom.

Lattice parameters (Å, degrees): 9.752 9.752 9.752 109.47 109.47 109.47
Last column: magnetic moment on the atom in μB.
Element x y z (fractional)
1 Cs 0.000 0.000 0.500  0.00
2 Cs 0.000 0.500 0.000  0.00
3 Cs 0.500 0.000 0.000  0.00
4 Cs 0.500 0.500 0.500  0.00
5 Br 0.756 0.756 0.000  -0.06
6 Br 0.750 0.500 0.250  -0.02
7 Br 0.750 0.250 0.500  -0.02
8 Br 0.250 0.500 0.750  -0.02
9 Br 0.500 0.250 0.750  -0.02
10 Br 0.244 0.000 0.244  -0.06
11 Br 0.250 0.750 0.500  -0.02
12 Br 0.500 0.750 0.250  -0.02
13 Br 0.000 0.244 0.244  -0.06
14 Br 0.244 0.244 0.000  -0.06
15 Br 0.000 0.756 0.756  -0.06
16 Br 0.756 0.000 0.756  -0.06
17 Ag 0.500 0.000 0.500  -0.04
18 Ag 0.500 0.500 0.000  -0.04
19 Ag 0.000 0.500 0.500  -0.04
20 Pu 0.000 0.000 0.000  4.61



Record 5
First-principles (PBE-GGA) data for a relaxed CsRbAgBr3 crystal, as listed in the Alexandria database.

Properties
As for the magnetization: 0.0 μB/cell. For the density of states at the Fermi level, the calculation gives 0.000 states/eV per atom. The calculation puts the energy relative to the elements, uncorrected at -1.289 eV per atom.

Lattice parameters (Å, degrees): 4.773 10.460 10.731 99.57 90.00 90.00
Element x y z (fractional)
1 Br 0.250 0.105 0.849
2 Br 0.750 0.415 0.163
3 Br 0.750 0.895 0.151
4 Br 0.750 0.176 0.512
5 Br 0.250 0.824 0.488
6 Br 0.250 0.585 0.837
7 Cs 0.750 0.824 0.790
8 Cs 0.250 0.176 0.210
9 Rb 0.250 0.646 0.161
10 Rb 0.750 0.354 0.839
11 Ag 0.250 0.087 0.600
12 Ag 0.750 0.913 0.400



Record 6
First-principles (PBE-GGA) data for a relaxed CsRbAgBr4 crystal, as listed in the Alexandria database.

Properties
As for the magnetization: 0.0 μB/cell. For the density of states at the Fermi level, the calculation gives 0.468 states/eV per atom. The calculation puts the energy relative to the elements, uncorrected at -1.124 eV per atom.

Lattice parameters (Å, degrees): 7.723 7.751 9.647 90.00 113.60 90.00
Element x y z (fractional)
1 Cs 0.107 0.250 0.215
2 Cs 0.893 0.750 0.785
3 Br 0.500 0.500 0.500
4 Br 0.500 0.000 0.500
5 Br 0.904 0.250 0.808
6 Br 0.096 0.750 0.192
7 Br 0.591 0.250 0.182
8 Br 0.000 0.500 0.500
9 Br 0.000 0.000 0.500
10 Br 0.409 0.750 0.818
11 Rb 0.386 0.250 0.773
12 Rb 0.614 0.750 0.227
13 Ag 0.748 0.250 0.496
14 Ag 0.252 0.750 0.504